Record 1
The following is a GGA-PBE calculation of an optimized crystal structure of NaMnSb3, from Alexandria via LeMat-Bulk.

Values from the calculation:
SG	Pm-3m, No. 221
energy relative to the elements, uncorrected	1.307	eV per formula unit

```
NaMnSb3
1.0
5.070 0.000 0.000
0.000 5.070 0.000
0.000 0.000 5.070
Sb Na Mn
3 1 1
Cartesian
0.000 0.000 2.535
0.000 2.535 0.000
2.535 0.000 0.000
2.535 2.535 2.535
0.000 0.000 0.000
```

Record 2
The following is a GGA-PBE calculation of an optimized crystal structure of NaMn2Sb2, from Alexandria via LeMat-Bulk.

Values from the calculation:
SG	I4/mmm, No. 139
energy relative to the elements, uncorrected	0.035	eV per formula unit

```
NaMn2Sb2
1.0
-1.883 1.507 3.660
-2.993 -3.195 -0.225
1.218 -4.509 5.107
Na Mn Sb
1 2 2
Cartesian
0.000 0.000 0.000
-1.551 -1.923 5.243
-2.106 -4.274 3.300
-2.156 -4.415 5.957
-1.502 -1.782 2.586
```

Record 3
The following is a GGA-PBE calculation of an optimized crystal structure of Na3Mn2SbSe6, from Alexandria via LeMat-Bulk.

Values from the calculation:
SG	C2/m, No. 12
energy relative to the elements, uncorrected	-8.030	eV per formula unit

```
Na3Mn2SbSe6
1.0
-4.068 -4.591 2.901
3.636 -1.661 -5.482
5.415 0.046 4.993
Se Na Mn Sb
6 3 2 1
Cartesian
2.575 -5.177 3.492
0.831 -4.457 -0.794
4.153 -1.749 3.205
5.318 -4.133 0.507
-0.334 -2.073 1.904
2.409 -1.029 -1.081
-0.135 -4.102 4.064
5.119 -2.104 -1.653
2.492 -3.103 1.205
1.074 -2.635 -2.694
-1.506 -3.617 0.113
0.000 0.000 0.000
```